(1)
Density functional theory data (PBE-GGA) for a relaxed Hf2CuAu crystal.

The calculated total energy comes out at -106.73 eV/cell. The total magnetization comes out at 0.00 μB per cell.

The space group is I-42d (No. 122) and the conventional cell measures 7.4637, 7.4637 and 5.5849 Å, with angles of 90.00, 90.00 and 90.00 degrees. The inequivalent atoms are Hf at (0.2350, 0.2500, 0.1250), Cu at (0.0000, 0.0000, 0.0000) and Au at (0.0000, 0.0000, 0.5000).

=====

(2)
Density functional theory data (PBE-GGA) for a relaxed HfCu2Au6 crystal.

The calculated total energy comes out at -156.98 eV/cell. The total magnetization comes out at 0.00 μB per cell.

The space group is C2/c (No. 15) and the conventional cell measures 15.2820, 8.1134 and 5.1236 Å, with angles of 90.00, 96.39 and 90.00 degrees. The inequivalent atoms are Hf at (0.0000, 0.2095, 0.2500), Cu at (0.2383, 0.4683, 0.9870), Au at (0.0837, 0.4352, 0.6468), Au at (0.0946, 0.0967, 0.8006) and Au at (0.1808, 0.2372, 0.2925).

=====

(3)
Density functional theory data (PBE-GGA) for a relaxed HfCu2Au crystal.

The calculated total energy comes out at -40.66 eV/cell. The total magnetization comes out at 0.00 μB per cell. The distance to the lowest polymorph of the same formula is 557 meV per atom.

The space group is Immm (No. 71) and the conventional cell measures 2.8052, 4.8280 and 10.5848 Å, with angles of 90.00, 90.00 and 90.00 degrees. The inequivalent atoms are Hf at (0.0000, 0.0000, 0.0000), Cu at (0.0000, 0.0000, 0.2544) and Au at (0.0000, 0.0000, 0.5000).

=====

(4)
Density functional theory data (PBE-GGA) for a relaxed Hf2CuAu6 crystal.

The calculated total energy comes out at -91.29 eV/cell. The total magnetization comes out at 0.00 μB per cell.

The space group is C2/m (No. 12) and the conventional cell measures 14.2216, 7.7977 and 3.0056 Å, with angles of 90.00, 90.42 and 90.00 degrees. The inequivalent atoms are Hf at (0.1865, 0.0000, 0.4947), Cu at (0.0000, 0.5000, 0.0000), Au at (0.0000, 0.1843, 0.5000) and Au at (0.1586, 0.3197, 0.9981).

=====

(5)
Density functional theory data (PBE-GGA) for a relaxed HoHfCuAu crystal.

The calculated total energy comes out at -92.84 eV/cell. The total magnetization comes out at 0.00 μB per cell.

The space group is F-43m (No. 216) and the conventional cell measures 6.8569, 6.8569 and 6.8569 Å, with angles of 90.00, 90.00 and 90.00 degrees. The inequivalent atoms are Ho at (0.0000, 0.0000, 0.0000), Hf at (0.0000, 0.0000, 0.5000), Cu at (0.2500, 0.2500, 0.7500) and Au at (0.2500, 0.2500, 0.2500).

=====

(6)
Density functional theory data (PBE-GGA) for a relaxed Hf2CuIrAu2 crystal.

The calculated total energy comes out at -167.57 eV/cell. The total magnetization comes out at 0.00 μB per cell.

The space group is Ibam (No. 72) and the conventional cell measures 5.6552, 13.5055 and 5.7290 Å, with angles of 90.00, 90.00 and 90.00 degrees. The inequivalent atoms are Hf at (0.2142, 0.1510, 0.0000), Cu at (0.0000, 0.5000, 0.2500), Ir at (0.0000, 0.0000, 0.2500) and Au at (0.2119, 0.3576, 0.0000).

=====

Quick rundown of DOS at the Fermi energy, same order as above: 3.858 1.576 2.698 6.220 4.936 4.796 states/eV/f.u.
Quick rundown of formation energy, same order as above: 0.1493 -0.1595 0.2727 -0.2195 -0.3264 -0.4121 eV per atom